The following is a DFT calculation (PBE) of BeZn4Cu15 after structural relaxation.

Unit cell a=3.603 b=3.603 c=18.751 alpha=90.00 beta=90.00 gamma=90.00
Fractional coordinates of all 20 atoms:
Be (0.000, 0.000, 0.000)
Zn (0.000, 0.000, 0.195)
Zn (0.000, 0.000, 0.398)
Zn (0.000, 0.000, 0.602)
Zn (0.000, 0.000, 0.805)
Cu (0.500, 0.500, 0.000)
Cu (0.500, 0.500, 0.195)
Cu (0.500, 0.500, 0.398)
Cu (0.500, 0.500, 0.602)
Cu (0.500, 0.500, 0.805)
Cu (0.500, 0.000, 0.092)
Cu (0.500, 0.000, 0.296)
Cu (0.500, 0.000, 0.500)
Cu (0.500, 0.000, 0.704)
Cu (0.500, 0.000, 0.908)
Cu (0.000, 0.500, 0.092)
Cu (0.000, 0.500, 0.296)
Cu (0.000, 0.500, 0.500)
Cu (0.000, 0.500, 0.704)
Cu (0.000, 0.500, 0.908)

Results
Formation enthalpy at 0 K = -0.0528 eV per atom
E_tot = -3.566 eV per atom
Total magnetization = 0.0 μB per cell
Volume = 243.4 Å³ per cell